Entry from the Alexandria database: an optimized crystal structure of ScRe2Os (PBE).

Cell lengths 3.1048, 4.4137, 4.5561 Å; angles 90.00, 90.00, 90.00 degrees
Last column: nearest neighbours and their distance in Å.
Sites, in units of the cell vectors:
Os1 0.0000 0.5000 0.5000  4 Sc 2.70, 4 Re 2.76
Sc1 0.5000 0.0000 0.5000  4 Os 2.70, 4 Re 2.76
Re1 0.0000 0.0000 0.0000  4 Re 2.70, 4 Sc 2.76
Re2 0.5000 0.5000 0.0000  4 Re 2.70, 4 Os 2.76

Calculated values
The formation energy is -40 meV/atom. As for the density: 16.16 g cm⁻³. The crystal system is orthorhombic. Its magnetization is 0.0 μB per formula unit. The value obtained for the total DFT energy (no corrections) is -42.62 eV for the cell shown. The calculation puts the density of states at the Fermi level at 2.3 states/eV/cell.